Below is a relaxed structure of CrSbS2, with properties calculated at the PBE-GGA level.

Computed properties:
The total magnetic moment comes out at 4.12 μB/f.u. The crystal system is tetragonal.

abc: 6.647 6.647 5.776
angles: 54.87 54.87 90.00
Fractional coordinates of all 8 atoms:
Sb1 0.750 0.250 0.500
Sb2 0.250 0.750 0.500
S1 0.750 0.250 0.000
S2 0.250 0.750 0.000
S3 0.250 0.250 0.000
S4 0.750 0.750 0.000
Cr1 0.750 0.750 0.500
Cr2 0.250 0.250 0.500



Below is a relaxed structure of La4Pm3TmTe8, with properties calculated at the PBE-GGA level.

Computed properties:
The total magnetic moment comes out at 0.00 μB/f.u. The crystal system is trigonal.

abc: 9.016 9.004 9.012
angles: 120.01 120.01 90.00
Fractional coordinates of all 16 atoms:
La1 0.500 0.000 0.000
La2 0.500 0.000 0.500
La3 0.000 0.000 0.000
La4 0.000 0.000 0.500
Pm1 0.500 0.500 0.000
Pm2 0.500 0.500 0.500
Pm3 0.000 0.500 0.500
Tm1 0.000 0.500 0.000
Te1 0.242 0.737 0.995
Te2 0.242 0.737 0.485
Te3 0.252 0.257 0.505
Te4 0.753 0.737 0.995
Te5 0.247 0.263 0.005
Te6 0.748 0.743 0.495
Te7 0.758 0.263 0.515
Te8 0.758 0.263 0.005



no.,DFT total energy (eV/f.u.)
1,-21.348
2,-87.106